AlMoW2O8 | PBE with a Hubbard U | optimized geometry

a b c (Å): 5.2054 5.6936 10.4905
angles (deg): 90.00 118.16 90.00
Space group P2/c (No. 13)
One atom of each set of equivalent atoms:
Al 0.0000 0.1649 0.2500 [2 per cell]
Mo 0.5000 0.1376 0.7500 [2 per cell]
W 0.2522 0.3405 0.0010 [4 per cell]
O 0.1922 0.3912 0.6099 [4 per cell]
O 0.1977 0.1337 0.1396 [4 per cell]
O 0.2547 0.1125 0.8682 [4 per cell]
O 0.3055 0.3786 0.3835 [4 per cell]

Properties
- M_tot: 10.0 μB/cell
- Density of states at the Fermi level: 0.0 states/eV/f.u.
- Energy above the lowest structure with this stoichiometry: 0 meV/atom
- Crystal system: monoclinic
- DFT total energy: -180.7 eV/cell